1.
# PBE Sc2CuW, relaxed
# Final energy (eV for the cell shown): -28.97
# Energy relative to the elements (meV per atom): 184
# Size of the total moment (μB/f.u.): 0.0
# Calculated volume (Å³/cell): 72.8
# Relative energy among the computed polymorphs (meV per atom): 118
data_Sc2CuW
_cell_length_a 2.8863
_cell_length_b 2.8863
_cell_length_c 8.7366
_cell_angle_alpha 90.00
_cell_angle_beta 90.00
_cell_angle_gamma 90.05
_space_group_name_H-M_alt 'P 1'
_space_group_IT_number 1
loop_
_space_group_symop_operation_xyz
'x,y,z'
loop_
_atom_site_label
_atom_site_type_symbol
_atom_site_fract_x
_atom_site_fract_y
_atom_site_fract_z
W1 W 0.0000 0.0000 0.5292
Sc1 Sc 0.5000 0.5000 0.2796
Sc2 Sc 0.0000 0.0000 0.9557
Cu1 Cu 0.5000 0.5000 0.7355


2.
# PBE NiAs3Cl, relaxed
# Final energy (eV for the cell shown): -19.21
# Size of the total moment (μB/f.u.): 0.0
# Uncorrected formation energy (kJ/mol of formula units): 228
# Calculated volume (Å³/cell): 102.6
# Relative energy among the computed polymorphs (meV per atom): 0
data_NiAs3Cl
_cell_length_a 4.6813
_cell_length_b 4.6813
_cell_length_c 4.6813
_cell_angle_alpha 90.00
_cell_angle_beta 90.00
_cell_angle_gamma 90.00
_space_group_name_H-M_alt 'P 1'
_space_group_IT_number 1
loop_
_space_group_symop_operation_xyz
'x,y,z'
loop_
_atom_site_label
_atom_site_type_symbol
_atom_site_fract_x
_atom_site_fract_y
_atom_site_fract_z
Ni1 Ni 0.0000 0.0000 0.0000
As1 As 0.0000 0.0000 0.5000
As2 As 0.0000 0.5000 0.0000
As3 As 0.5000 0.0000 0.0000
Cl1 Cl 0.5000 0.5000 0.5000


3.
# PBE AcLaP, relaxed
# Final energy (eV for the cell shown): -16.70
# Energy relative to the elements (meV per atom): -752
# Size of the total moment (μB/f.u.): 0.0
# Calculated volume (Å³/cell): 96.5
# Relative energy among the computed polymorphs (meV per atom): 161
data_AcLaP
_cell_length_a 3.7760
_cell_length_b 3.7760
_cell_length_c 7.2760
_cell_angle_alpha 105.04
_cell_angle_beta 105.04
_cell_angle_gamma 90.00
_space_group_name_H-M_alt 'P 1'
_space_group_IT_number 1
loop_
_space_group_symop_operation_xyz
'x,y,z'
loop_
_atom_site_label
_atom_site_type_symbol
_atom_site_fract_x
_atom_site_fract_y
_atom_site_fract_z
P1 P 0.6722 0.6722 0.3445
La1 La 0.2867 0.2867 0.5734
Ac1 Ac 0.0410 0.0410 0.0821